[1]
Entry from the Alexandria database: a relaxed structure of Te5W (PBE-GGA).

a b c (Å): 7.164 7.164 9.239
angles (deg): 61.94 61.94 26.87
Positions (direct):
Te 0.067 0.067 0.045
Te 0.730 0.730 0.684
Te 0.235 0.235 0.223
Te 0.421 0.421 0.803
Te 0.969 0.969 0.431
W 0.744 0.744 0.980

Total magnetization in Bohr magnetons per cell: 0.00
ΔE to the lowest computed polymorph in eV/f.u.: 0.00
Calculated volume in Å³ per cell: 187.59
DOS(E_F) in states/eV/f.u.: 3.2
VASP energy in eV per cell: -28.021
E_form (uncorrected) in eV per atom: 0.107

[2]
Entry from the Alexandria database: a relaxed structure of Pm3Nd6YHo2 (PBE-GGA).

a b c (Å): 6.319 6.319 12.002
angles (deg): 95.03 95.03 120.01
Positions (direct):
Pm 0.167 0.833 0.500
Pm 0.833 0.167 0.500
Pm 0.500 0.500 0.500
Nd 0.917 0.583 0.753
Nd 0.749 0.749 0.247
Nd 0.083 0.417 0.247
Nd 0.583 0.917 0.753
Nd 0.251 0.251 0.753
Nd 0.417 0.083 0.247
Y 0.000 0.000 0.000
Ho 0.333 0.667 0.000
Ho 0.667 0.333 0.000

Total magnetization in Bohr magnetons per cell: 0.00
Calculated volume in Å³ per cell: 408.51
DOS(E_F) in states/eV/f.u.: 15.6
VASP energy in eV per cell: -58.323

[3]
Entry from the Alexandria database: a relaxed structure of Na2PmTaO6 (PBE-GGA).

a b c (Å): 5.813 5.991 8.297
angles (deg): 90.00 90.20 90.00
Positions (direct):
Na 0.012 0.963 0.253
Na 0.512 0.537 0.753
Na 0.988 0.037 0.747
Na 0.488 0.463 0.247
Pm 0.500 0.000 0.000
Pm 0.000 0.500 0.500
Ta 0.500 0.000 0.500
Ta 0.000 0.500 0.000
O 0.275 0.687 0.049
O 0.775 0.813 0.549
O 0.725 0.313 0.951
O 0.225 0.187 0.451
O 0.318 0.728 0.441
O 0.818 0.772 0.941
O 0.682 0.272 0.559
O 0.182 0.228 0.059
O 0.897 0.538 0.228
O 0.397 0.962 0.728
O 0.103 0.462 0.772
O 0.603 0.038 0.272

Total magnetization in Bohr magnetons per cell: 4.01
Calculated volume in Å³ per cell: 288.95
DOS(E_F) in states/eV/f.u.: 7.0
VASP energy in eV per cell: -142.383
E_form (uncorrected) in eV per atom: -2.220

[4]
Entry from the Alexandria database: a relaxed structure of SrInCo3 (PBE-GGA).

a b c (Å): 4.861 4.861 4.861
angles (deg): 90.00 90.00 90.00
Positions (direct):
Sr 0.500 0.500 0.500
Co 0.000 0.500 0.000
Co 0.000 0.000 0.500
Co 0.500 0.000 0.000
In 0.000 0.000 0.000

Total magnetization in Bohr magnetons per cell: 4.48
ΔE to the lowest computed polymorph in eV/f.u.: 0.00
Calculated volume in Å³ per cell: 114.89
DOS(E_F) in states/eV/f.u.: 31.3
VASP energy in eV per cell: -20.897

[5]
Entry from the Alexandria database: a relaxed structure of Dy13Y3 (PBE-GGA).

a b c (Å): 7.099 7.099 10.024
angles (deg): 90.00 90.00 90.00
Positions (direct):
Dy 0.500 0.000 0.250
Dy 0.500 0.500 0.250
Dy 0.000 0.500 0.250
Dy 0.749 0.749 0.000
Dy 0.251 0.251 0.000
Dy 0.250 0.750 0.000
Dy 0.500 0.000 0.750
Dy 0.500 0.500 0.750
Dy 0.000 0.500 0.750
Dy 0.749 0.251 0.500
Dy 0.749 0.749 0.500
Dy 0.251 0.251 0.500
Dy 0.251 0.749 0.500
Y 0.000 0.000 0.250
Y 0.750 0.250 0.000
Y 0.000 0.000 0.750

Total magnetization in Bohr magnetons per cell: 0.00
ΔE to the lowest computed polymorph in eV/f.u.: 0.15
Calculated volume in Å³ per cell: 505.15
DOS(E_F) in states/eV/f.u.: 18.7
VASP energy in eV per cell: -78.954

[6]
Entry from the Alexandria database: a relaxed structure of BaTl2Cl (PBE-GGA).

a b c (Å): 5.375 5.375 7.538
angles (deg): 66.62 66.62 51.33
Positions (direct):
Tl 0.996 0.996 0.935
Tl 0.736 0.736 0.809
Ba 0.525 0.525 0.416
Cl 0.243 0.243 0.340

Total magnetization in Bohr magnetons per cell: 0.00
ΔE to the lowest computed polymorph in eV/f.u.: 0.18
Calculated volume in Å³ per cell: 152.67
DOS(E_F) in states/eV/f.u.: 3.0
VASP energy in eV per cell: -11.800
E_form (uncorrected) in eV per atom: -0.825

[7]
Entry from the Alexandria database: a relaxed structure of PuHfZr6 (PBE-GGA).

a b c (Å): 5.208 6.440 6.440
angles (deg): 119.80 90.00 90.00
Positions (direct):
Pu 0.500 0.167 0.833
Hf 0.500 0.667 0.333
Zr 0.500 0.165 0.332
Zr 0.500 0.668 0.835
Zr 0.000 0.340 0.176
Zr 0.000 0.824 0.660
Zr 0.000 0.338 0.662
Zr 0.000 0.832 0.168

Total magnetization in Bohr magnetons per cell: 5.98
Calculated volume in Å³ per cell: 187.42
DOS(E_F) in states/eV/f.u.: 11.2
VASP energy in eV per cell: -75.308

[8]
Entry from the Alexandria database: a relaxed structure of Cs2ZrTc2 (PBE-GGA).

a b c (Å): 5.138 5.138 6.510
angles (deg): 66.76 66.76 90.00
Positions (direct):
Cs 0.357 0.357 0.285
Cs 0.643 0.643 0.715
Tc 0.750 0.250 0.500
Tc 0.250 0.750 0.500
Zr 0.000 0.000 0.000

Total magnetization in Bohr magnetons per cell: 2.34
ΔE to the lowest computed polymorph in eV/f.u.: 1.61
Calculated volume in Å³ per cell: 142.62
DOS(E_F) in states/eV/f.u.: 6.3
VASP energy in eV per cell: -18.595